A plane-wave DFT calculation with GGA-PBE was carried out for crystalline CaGeAsBr2 at its relaxed geometry.

Geometry as extended XYZ:
```
5
Lattice="5.2925 0.0000 0.0000 0.0000 5.2925 0.0000 0.0000 0.0000 5.1745" Properties=species:S:1:pos:R:3 pbc="T T T"
As 0.0000 0.0000 2.5873
Ca 2.6463 2.6463 2.5873
Ge 0.0000 0.0000 0.0000
Br 0.0000 2.6463 0.0000
Br 2.6463 0.0000 0.0000
```

Summary:
uncorrected formation energy: -0.42 eV per atom
SG: P4/mmm, No. 123
ΔE to the lowest computed polymorph: 0 meV/atom

A plane-wave DFT calculation with GGA-PBE was carried out for crystalline MnPd3Pt at its relaxed geometry.

Geometry as extended XYZ:
```
20
Lattice="5.4532 0.0000 0.0000 0.0000 6.8180 1.5441 0.0000 0.7236 8.4299" Properties=species:S:1:pos:R:3 pbc="T T T"
Mn 4.0902 4.2070 1.7637
Mn 1.3630 3.3346 8.2104
Mn 1.3636 2.9728 3.9954
Mn 4.0896 4.5687 5.9787
Pd 5.4433 5.5854 3.7716
Pd 0.0099 1.9561 6.2025
Pd 2.7167 1.5943 1.9876
Pd 2.7365 5.9472 7.9865
Pd 2.7365 5.5855 3.7714
Pd 2.7167 1.9560 6.2027
Pd 0.0099 1.5942 1.9877
Pd 5.4433 5.9473 7.9864
Pd 1.3632 4.5443 5.9839
Pd 4.0900 2.9972 3.9902
Pd 4.0898 3.3590 8.2052
Pd 1.3634 4.1825 1.7689
Pt 1.3633 0.4397 4.2090
Pt 4.0899 7.1018 5.7650
Pt 4.0899 6.7400 1.5501
Pt 1.3633 0.8015 8.4240
```

Summary:
formation energy from the elements: -131 meV/atom
SG: P2_1/m, No. 11
ΔE to the lowest computed polymorph: 0 meV/atom

A plane-wave DFT calculation with GGA-PBE was carried out for crystalline YAlCd at its relaxed geometry.

Geometry as extended XYZ:
```
3
Lattice="-2.3985 -1.7141 3.7597 0.7605 1.8211 4.3510 -3.3688 2.6593 2.0988" Properties=species:S:1:pos:R:3 pbc="T T T"
Y -1.2517 0.6916 2.5524
Al 0.0000 0.0000 0.0000
Cd -3.7552 2.0747 7.6572
```

Summary:
formation energy from the elements: -193 meV/atom
SG: F-43m, No. 216

A plane-wave DFT calculation with GGA-PBE was carried out for crystalline KBi at its relaxed geometry.

Geometry as extended XYZ:
```
12
Lattice="-2.9944 5.8387 8.6066 -6.9717 -6.9286 -4.5300 1.9255 -4.2689 3.5659" Properties=species:S:1:pos:R:3 pbc="T T T"
K -3.3738 2.2540 6.9493
K -6.0308 -5.2799 4.2229
K -6.1327 -0.6280 4.9888
K -4.6668 -7.6129 0.6933
K -2.0098 -0.0790 3.4197
K -1.9079 -4.7309 2.6538
Bi -3.7529 -4.0423 -0.3837
Bi -1.3057 -0.7108 7.1412
Bi -5.0059 -2.5299 2.1034
Bi -4.2877 -1.3166 8.0263
Bi -6.7349 -4.6480 0.5014
Bi -3.0347 -2.8290 5.5392
```

Summary:
formation energy from the elements: -226 meV/atom
SG: P6_3/m, No. 176

A plane-wave DFT calculation with GGA-PBE was carried out for crystalline SrTlIr2 at its relaxed geometry.

Geometry as extended XYZ:
```
4
Lattice="6.2668 -0.0011 0.0142 5.5227 2.9619 0.0142 2.0321 0.5103 4.5759" Properties=species:S:1:pos:R:3 pbc="T T T"
Ir 2.1622 0.5430 4.4934
Ir 9.9550 2.5001 3.6728
Sr 6.8392 1.7176 2.3187
Tl 3.8080 0.9563 0.9973
```

Summary:
formation energy from the elements: 248 meV/atom
SG: Cm, No. 8
ΔE to the lowest computed polymorph: 173 meV/atom

A plane-wave DFT calculation with GGA-PBE was carried out for crystalline NpHgSe2 at its relaxed geometry.

Geometry as extended XYZ:
```
4
Lattice="-2.8447 2.1332 -1.5716 -0.7158 -2.2011 3.1234 2.3498 7.3427 5.7129" Properties=species:S:1:pos:R:3 pbc="T T T"
Np 0.1737 2.0514 5.3504
Hg -2.4135 1.2553 -0.6207
Se -0.9594 2.1715 2.7559
Se -0.1119 4.8195 4.8162
```

Summary:
uncorrected formation energy: -0.65 eV per atom
SG: Amm2, No. 38
ΔE to the lowest computed polymorph: 107 meV/atom

A plane-wave DFT calculation with GGA-PBE was carried out for crystalline Tb15Tm4Th at its relaxed geometry.

Geometry as extended XYZ:
```
20
Lattice="-1.8964 -3.9591 -2.4422 3.7610 0.2470 -3.3210 13.6501 -15.3689 14.3153" Properties=species:S:1:pos:R:3 pbc="T T T"
Tb 0.9323 -1.8560 -2.8816
Tb 3.6865 -4.9570 0.0068
Tb 6.3932 -8.0045 2.8454
Tb 9.1215 -11.0764 5.7067
Tb 11.8282 -14.1239 8.5453
Tb 0.4115 -3.5105 0.2049
Tb 3.1476 -6.5912 3.0744
Tb 5.8769 -9.6640 5.9366
Tb 8.6061 -12.7369 8.7988
Tb 11.3422 -15.8175 11.6683
Tb 3.2402 -1.4074 -0.2345
Tb 5.9764 -4.4881 2.6349
Tb 8.7056 -7.5609 5.4971
Tb 11.4348 -10.6338 8.3594
Tb 14.1709 -13.7144 11.2288
Tm 2.7350 -3.0794 2.8683
Tm 5.4624 -6.1501 5.7285
Tm 8.1878 -9.2187 8.5868
Tm 10.9151 -12.2895 11.4470
Th 0.0000 0.0000 0.0000
```

Summary:
formation energy from the elements: 24 meV/atom
SG: P4/mmm, No. 123

A plane-wave DFT calculation with GGA-PBE was carried out for crystalline SrAl2Cu at its relaxed geometry.

Geometry as extended XYZ:
```
4
Lattice="3.3589 0.0000 0.0000 0.0000 3.3574 0.0000 0.0000 0.0000 7.4058" Properties=species:S:1:pos:R:3 pbc="T T T"
Sr 1.6795 1.6787 5.4498
Al 0.0000 0.0000 0.4634
Al 1.6795 1.6787 2.0888
Cu 0.0000 0.0000 3.1068
```

Summary:
formation energy from the elements: -35 meV/atom
SG: P4mm, No. 99

It is found that the energy values, taken in the order of the records, are -0.2455, -0.4622, -0.2867, -0.1996, -0.3818, -0.4190, -0.3465, -0.2462 Ry/atom.